Arrangement w

First-principles (GGA-PBE) data for an optimized crystal structure of Er4Tm2Pb, as listed in Alexandria via LeMat-Bulk.

Results
Magnetization, μB per formula unit: 0.00
DOS(E_F), states/eV/f.u.: 10.72
Theoretical density, Mg/m³: 9.6

```
data_Er4Tm2Pb
_cell_length_a 5.513
_cell_length_b 6.761
_cell_length_c 11.625
_cell_angle_alpha 90.00
_cell_angle_beta 103.60
_cell_angle_gamma 90.00
_space_group_name_H-M_alt 'P 1 21/m 1'
_space_group_IT_number 11
_space_group_name_Hall '-P 2yb'
loop_
_atom_site_label
_atom_site_type_symbol
_atom_site_fract_x
_atom_site_fract_y
_atom_site_fract_z
_atom_site_occupancy
Er1 Er 0.075 0.250 0.143 1
Er2 Er 0.211 0.750 0.418 1
Er3 Er 0.354 0.511 0.710 1
Tm1 Tm 0.217 0.250 0.436 1
Tm2 Tm 0.495 0.250 0.980 1
Pb1 Pb 0.068 0.750 0.146 1
```

---

Arrangement x

First-principles (GGA-PBE) data for an optimized crystal structure of Er4Tm2Pb, as listed in Alexandria via LeMat-Bulk.

Results
Magnetization, μB per formula unit: 0.00
DOS(E_F), states/eV/f.u.: 9.64
Theoretical density, Mg/m³: 8.9

```
data_Er4Tm2Pb
_cell_length_a 8.077
_cell_length_b 8.077
_cell_length_c 3.454
_cell_angle_alpha 90.00
_cell_angle_beta 90.00
_cell_angle_gamma 90.00
_space_group_name_H-M_alt 'P -4 2 m'
_space_group_IT_number 111
_space_group_name_Hall 'P -4 2'
loop_
_atom_site_label
_atom_site_type_symbol
_atom_site_fract_x
_atom_site_fract_y
_atom_site_fract_z
_atom_site_occupancy
Er1 Er 0.213 0.213 0.497 1
Tm1 Tm 0.000 0.500 0.000 1
Pb1 Pb 0.500 0.500 0.500 1
```

---

Stability comparison, relative energies in eV/atom: arrangement w 0.000; arrangement x 0.267